NbCo2Tc2, relaxed, DFT PBE; electronic total energy = -89.7 eV per cell; space-group type = No. 127; distance to the lowest polymorph of the same formula = 0 meV/atom; energy of formation = 0.03 eV per atom
1.0
7.209 0.000 0.000
0.000 7.209 0.000
0.000 0.000 2.645
Nb Co Tc
2 4 4
Cartesian
0.000 0.000 0.000
3.604 3.604 0.000
0.859 2.745 0.000
2.745 6.349 0.000
4.464 0.859 0.000
6.349 4.464 0.000
1.256 4.860 1.323
2.348 1.256 1.323
4.860 5.953 1.323
5.953 2.348 1.323

=====

NbCoTc3, relaxed, DFT PBE; electronic total energy = -42.7 eV per cell; space-group type = No. 221; distance to the lowest polymorph of the same formula = 0 meV/atom; energy of formation = 1.12 eV per atom
1.0
4.383 0.000 0.000
0.000 4.383 0.000
0.000 0.000 4.383
Nb Co Tc
1 1 3
Cartesian
0.000 0.000 0.000
2.192 2.192 2.192
0.000 2.192 2.192
2.192 0.000 2.192
2.192 2.192 0.000